The following is a PBE calculation of a relaxed POsRhO2 crystal, from Alexandria.

Properties
D(E_F)	5.27	states/eV/cell
magnetization	1.99	μB/f.u.
offset from the most stable computed form	0.741	eV per atom

a = 3.634 Å, b = 3.634 Å, c = 5.995 Å
α = 90.00°, β = 90.00°, γ = 90.00°
Atoms (fractional coordinates):
Rh  0.000  0.000  0.000
Os  0.500  0.500  0.500
O  0.000  0.500  0.000
O  0.500  0.000  0.000
P  0.000  0.000  0.500